A relaxed structure of CePaVO6, computed with GGA+U.

Properties
DFT total energy = -8.892 eV per atom

Unit cell a=5.4980 b=5.4980 c=9.7503 alpha=90.00 beta=90.00 gamma=120.00
Space group P-31c (No. 163)
Symmetry-distinct sites (fractional):
1 Ce 0.0000 0.0000 0.0000 [2 per cell]
2 Pa 0.3333 0.6667 0.2500 [2 per cell]
3 V 0.3333 0.6667 0.7500 [2 per cell]
4 O 0.0185 0.3529 0.6359 [12 per cell]